No. 1
First-principles (PBE) data for crystalline Tb5Dy6Tm at its relaxed geometry, as listed in the Alexandria database.

a = 6.1279 Å, b = 10.6054 Å, c = 11.7256 Å
α = 90.00°, β = 99.97°, γ = 90.00°
Closest atoms and distances in Å follow each position.
Space group C2/m (No. 12)
Inequivalent atoms, fractional coordinates:
Tb 0.0000 0.0000 0.0000 (multiplicity 2)  6 Tb 3.54, 6 Dy 3.54
Tb 0.0000 0.1666 0.5000 (multiplicity 4)  6 Dy 3.53, 3 Tb 3.53-3.54, 3 Tm 3.54
Tb 0.0000 0.3335 0.0000 (multiplicity 4)  6 Tb 3.53-3.54, 6 Dy 3.54-3.55
Dy 0.2490 0.3336 0.7493 (multiplicity 8)  1 Tm 3.53, 5 Tb 3.53-3.55, 6 Dy 3.53-3.54
Dy 0.2497 0.0000 0.7494 (multiplicity 4)  1 Tm 3.53, 5 Tb 3.53-3.54, 6 Dy 3.53-3.54
Tm 0.0000 0.5000 0.5000 (multiplicity 2)  6 Dy 3.53, 6 Tb 3.54

V = 31.3 Å³ per atom
E above lowest polymorph = 0 meV/atom
Total energy = -55.05 eV/f.u.
Energy of formation from the pure elements = 16 meV per atom
Density of states at the Fermi level = 15.3 states/eV/f.u.

***

No. 2
First-principles (PBE) data for crystalline TbDy2Tm3 at its relaxed geometry, as listed in the Alexandria database.

a = 17.2086 Å, b = 7.0252 Å, c = 6.0718 Å
α = 90.00°, β = 90.12°, γ = 90.00°
Closest atoms and distances in Å follow each position.
Space group C2/c (No. 15)
Inequivalent atoms, fractional coordinates:
Tb 0.0000 0.1252 0.2500 (multiplicity 4)  8 Tm 3.51-3.52, 2 Tb 3.51, 2 Dy 3.51
Dy 0.1668 0.3750 0.4170 (multiplicity 8)  8 Tm 3.51, 3 Dy 3.51, 1 Tb 3.51
Tm 0.0000 0.3751 0.7500 (multiplicity 4)  4 Tm 3.51, 4 Tb 3.51, 4 Dy 3.51
Tm 0.1668 0.1250 0.9167 (multiplicity 8)  6 Dy 3.51, 4 Tm 3.51, 2 Tb 3.51-3.52

V = 30.6 Å³ per atom
E above lowest polymorph = 0 meV/atom
Total energy = -27.11 eV/f.u.
Energy of formation from the pure elements = 23 meV per atom
Density of states at the Fermi level = 8.5 states/eV/f.u.

***

No. 3
First-principles (PBE) data for crystalline Tb4Dy2Tm at its relaxed geometry, as listed in the Alexandria database.

a = 3.5667 Å, b = 3.5667 Å, c = 19.9564 Å
α = 90.00°, β = 90.00°, γ = 120.00°
Closest atoms and distances in Å follow each position.
Space group P3m1 (No. 156)
Inequivalent atoms, fractional coordinates:
Tb 0.0000 0.0000 0.0000 (multiplicity 1)  3 Tm 3.48, 3 Dy 3.53, 6 Tb 3.57
Tb 0.0000 0.0000 0.2821 (multiplicity 1)  3 Tm 3.49, 9 Tb 3.55-3.57
Tb 0.6667 0.3333 0.4273 (multiplicity 1)  3 Dy 3.53, 9 Tb 3.55-3.57
Tb 0.6667 0.3333 0.7135 (multiplicity 1)  6 Dy 3.51-3.52, 6 Tb 3.57
Dy 0.3333 0.6667 0.5707 (multiplicity 1)  6 Tb 3.51-3.53, 6 Dy 3.57
Dy 0.3333 0.6667 0.8566 (multiplicity 1)  6 Tb 3.52-3.53, 6 Dy 3.57
Tm 0.3333 0.6667 0.1406 (multiplicity 1)  6 Tb 3.48-3.49, 6 Tm 3.57

V = 31.4 Å³ per atom
E above lowest polymorph = 0 meV/atom
Total energy = -32.16 eV/f.u.
Energy of formation from the pure elements = 5 meV per atom
Density of states at the Fermi level = 9.7 states/eV/f.u.

***

No. 4
First-principles (PBE) data for crystalline Tb3Dy4Tm3 at its relaxed geometry, as listed in the Alexandria database.

a = 3.6771 Å, b = 13.0487 Å, c = 13.0714 Å
α = 90.00°, β = 90.00°, γ = 90.00°
Closest atoms and distances in Å follow each position.
Space group Amm2 (No. 38)
Inequivalent atoms, fractional coordinates:
Tb 0.0000 0.0000 0.0000 (multiplicity 2)  6 Dy 3.21-3.35
Tb 0.0000 0.1715 0.6710 (multiplicity 4)  6 Dy 3.21-3.35
Dy 0.5000 0.0000 0.5432 (multiplicity 2)  2 Tm 3.20, 4 Tb 3.34, 1 Dy 3.34
Dy 0.5000 0.0000 0.7990 (multiplicity 2)  6 Tb 3.21-3.35, 1 Dy 3.34
Dy 0.5000 0.1272 0.1723 (multiplicity 4)  4 Tb 3.21-3.35, 1 Dy 3.32, 2 Tm 3.33
Tm 0.0000 0.0000 0.3429 (multiplicity 2)  6 Dy 3.20-3.33
Tm 0.5000 0.2482 0.4207 (multiplicity 4)  4 Dy 3.61-3.67, 4 Tm 3.68-3.86, 6 Tb 3.88-3.90

V = 31.4 Å³ per atom
Total energy = -44.71 eV/f.u.
Energy of formation from the pure elements = 101 meV per atom
Density of states at the Fermi level = 8.4 states/eV/f.u.

***

No. 5
First-principles (PBE) data for crystalline TbDy2Tm at its relaxed geometry, as listed in the Alexandria database.

a = 3.5273 Å, b = 3.5273 Å, c = 34.4628 Å
α = 90.00°, β = 90.00°, γ = 120.00°
Closest atoms and distances in Å follow each position.
Space group R-3m (No. 166, hexagonal axes)
Inequivalent atoms, fractional coordinates:
Tb 0.0000 0.0000 0.0000 (multiplicity 3)  6 Tb 3.53, 6 Dy 3.54
Dy 0.0000 0.0000 0.2493 (multiplicity 6)  3 Tm 3.50, 6 Dy 3.53, 3 Tb 3.54
Tm 0.0000 0.0000 0.5000 (multiplicity 3)  6 Dy 3.50, 6 Tm 3.53

V = 30.9 Å³ per atom
E above lowest polymorph = 16 meV/atom
Total energy = -18.23 eV/f.u.
Energy of formation from the pure elements = 20 meV per atom
Density of states at the Fermi level = 5.6 states/eV/f.u.

***

No. 6
First-principles (PBE) data for crystalline Tb3DyTm4 at its relaxed geometry, as listed in the Alexandria database.

a = 11.1373 Å, b = 7.1968 Å, c = 6.2241 Å
α = 90.00°, β = 90.00°, γ = 90.00°
Closest atoms and distances in Å follow each position.
Space group Pmn2_1 (No. 31)
Inequivalent atoms, fractional coordinates:
Tb 0.0000 0.1266 0.0000 (multiplicity 2)  4 Tb 3.47-3.49, 6 Tm 3.48-3.62, 2 Dy 3.61
Tb 0.2498 0.1268 0.3341 (multiplicity 4)  6 Tm 3.47-3.62, 4 Tb 3.47-3.61, 2 Dy 3.48-3.49
Dy 0.0000 0.8728 0.5004 (multiplicity 2)  6 Tm 3.47-3.63, 6 Tb 3.48-3.61
Tm 0.0000 0.3769 0.5008 (multiplicity 2)  6 Tm 3.46-3.58, 4 Tb 3.47-3.60, 2 Dy 3.57-3.63
Tm 0.0000 0.6231 0.0010 (multiplicity 2)  6 Tm 3.46-3.58, 4 Tb 3.48-3.62, 2 Dy 3.59-3.60
Tm 0.2501 0.3769 0.8335 (multiplicity 4)  6 Tm 3.46-3.58, 1 Dy 3.47, 5 Tb 3.48-3.62

V = 31.2 Å³ per atom
E above lowest polymorph = 0 meV/atom
Total energy = -36.35 eV/f.u.
Energy of formation from the pure elements = 4 meV per atom
Density of states at the Fermi level = 13.4 states/eV/f.u.

***

No. 7
First-principles (PBE) data for crystalline TbDy2Tm12 at its relaxed geometry, as listed in the Alexandria database.

a = 3.5761 Å, b = 5.5718 Å, c = 23.1221 Å
α = 90.00°, β = 94.41°, γ = 90.00°
Closest atoms and distances in Å follow each position.
Space group P2/m (No. 10)
Inequivalent atoms, fractional coordinates:
Tb 0.0000 0.0000 0.0000 (multiplicity 1)  2 Tb 3.58, 12 Tm 3.65-3.84
Dy 0.1418 0.0000 0.2852 (multiplicity 2)  10 Tm 3.42-3.69, 2 Dy 3.58
Tm 0.0963 0.5000 0.1931 (multiplicity 2)  10 Tm 3.40-3.58, 2 Dy 3.50
Tm 0.2207 0.5000 0.4429 (multiplicity 2)  8 Tm 3.18-3.34
Tm 0.2886 0.0000 0.5747 (multiplicity 2)  8 Tm 3.33-3.66, 2 Dy 3.69
Tm 0.3397 0.5000 0.6775 (multiplicity 2)  8 Tm 3.30-3.66, 4 Dy 3.42
Tm 0.4274 0.0000 0.8526 (multiplicity 2)  8 Tm 3.34-3.58, 2 Dy 3.65
Tm 0.4632 0.5000 0.9327 (multiplicity 2)  5 Tm 3.10-3.41

V = 30.6 Å³ per atom
Total energy = -66.39 eV/f.u.
Energy of formation from the pure elements = 73 meV per atom
Density of states at the Fermi level = 24.8 states/eV/f.u.

***

No. 8
First-principles (PBE) data for crystalline Tb2DyTm2 at its relaxed geometry, as listed in the Alexandria database.

a = 11.1188 Å, b = 4.9797 Å, c = 11.1349 Å
α = 90.00°, β = 90.03°, γ = 90.00°
Closest atoms and distances in Å follow each position.
Space group C2/m (No. 12)
Inequivalent atoms, fractional coordinates:
Tb 0.0500 0.0000 0.1495 (multiplicity 4)  2 Tb 3.51-3.52, 3 Dy 3.51-3.52, 7 Tm 3.51-3.52
Tb 0.1496 0.0000 0.4498 (multiplicity 4)  4 Tb 3.51-3.53, 5 Tm 3.52, 3 Dy 3.53
Dy 0.2497 0.0000 0.7508 (multiplicity 4)  6 Tb 3.51-3.53, 6 Tm 3.51-3.52
Tm 0.0502 0.5000 0.6503 (multiplicity 4)  2 Tm 3.52-3.53, 3 Dy 3.52, 7 Tb 3.52
Tm 0.1502 0.5000 0.9498 (multiplicity 4)  3 Dy 3.51, 5 Tb 3.51-3.52, 4 Tm 3.52

V = 30.8 Å³ per atom
E above lowest polymorph = 0 meV/atom
Total energy = -22.70 eV/f.u.
Energy of formation from the pure elements = 21 meV per atom
Density of states at the Fermi level = 7.0 states/eV/f.u.

***

Question: Number 4 is which compound?
Answer: Tb3Dy4Tm3